Record 1
VASP calculation (PBE) on an optimized crystal structure of ScZn2Sn.

POSCAR file:
```
ScZn2Sn
1.0
-0.713 4.081 1.101
-2.918 0.294 -2.980
-2.912 -1.245 2.729
Zn Sc Sn
2 1 1
Direct
0.000 0.000 0.500
0.000 0.500 0.000
0.500 0.500 0.500
0.500 0.000 0.000
```

Results
Space group: No. 123
Formation enthalpy at 0 K: -0.370 eV per atom

Record 2
VASP calculation (PBE) on an optimized crystal structure of MgScGe2.

POSCAR file:
```
MgScGe2
1.0
-0.619 -3.103 -0.713
2.427 -2.147 -0.142
-0.432 -3.474 8.115
Mg Ge Sc
1 2 1
Direct
0.000 0.000 0.000
0.251 0.251 0.248
0.749 0.749 0.752
0.500 0.500 0.500
```

Results
Space group: No. 166
Formation enthalpy at 0 K: -0.287 eV per atom